<i>
Pm6NdTm4: relaxed, PBE.

It has space group Cmcm (No. 63), with a = 5.8133 Å, b = 9.6894 Å, c = 25.8751 Å, α = 90.00°, β = 90.00° and γ = 90.00°. The inequivalent atoms are Pm at (0.0000, 0.0000, 0.0000), Pm at (0.0000, 0.0414, 0.2500), Pm at (0.0000, 0.3051, 0.5988), Pm at (0.0000, 0.3700, 0.1807), Nd at (0.0000, 0.2960, 0.7500), Tm at (0.0000, 0.0361, 0.1235) and Tm at (0.0000, 0.3467, 0.0437).

Its total magnetization is 0.000 μB per atom.

<ii>
Pm6NdTm4: relaxed, PBE.

It has space group I-42m (No. 121), with a = 6.6507 Å, b = 6.6507 Å, c = 17.1196 Å, α = 90.00°, β = 90.00° and γ = 90.00°. The inequivalent atoms are Pm at (0.0000, 0.5000, 0.0000), Pm at (0.1895, 0.1895, 0.1772), Nd at (0.0000, 0.0000, 0.0000) and Tm at (0.1795, 0.1795, 0.3735).

Its total magnetization is 0.000 μB per atom.

Least stable structure: <ii>